No. 1
The following is a DFT calculation (GGA-PBE) of a geometry-optimized RbLi2SiO4 structure.

Output
**Energy relative to the elements, uncorrected**: -2032 meV/atom
**Total magnetic moment**: 0.13 μB per atom

Unit cell a=5.330 b=5.330 c=5.330 alpha=120.33 beta=120.33 gamma=89.42
Last column: magnetic moment on the atom in μB.
Atoms (fractional coordinates):
1 O 0.964 0.308 0.000  0.21
2 O 0.692 0.692 0.656  0.21
3 O 0.036 0.036 0.344  0.21
4 O 0.308 0.964 0.000  0.21
5 Si 0.000 0.000 0.000  -0.01
6 Li 0.250 0.750 0.500  0.00
7 Li 0.750 0.250 0.500  0.00
8 Rb 0.500 0.500 0.000  0.03

=====

No. 2
The following is a DFT calculation (GGA-PBE) of a geometry-optimized Rb2LiSiO4 structure.

Output
**Energy relative to the elements, uncorrected**: -1962 meV/atom
**Total magnetic moment**: 0.13 μB per atom

Unit cell a=4.809 b=6.368 c=10.643 alpha=85.11 beta=76.94 gamma=67.81
Last column: magnetic moment on the atom in μB.
Atoms (fractional coordinates):
1 O 0.257 0.161 0.912  0.21
2 O 0.831 0.839 0.912  0.21
3 O 0.493 0.339 0.588  0.21
4 O 0.330 0.839 0.088  0.21
5 O 0.919 0.661 0.588  0.21
6 O 0.582 0.161 0.088  0.21
7 O 0.420 0.661 0.412  0.21
8 O 0.168 0.339 0.412  0.21
9 Si 0.250 0.500 0.500  -0.02
10 Si 0.500 0.000 0.000  -0.02
11 Rb 0.829 0.000 0.343  0.00
12 Rb 0.579 0.500 0.843  0.00
13 Rb 0.921 0.500 0.157  0.00
14 Rb 0.171 0.000 0.657  0.00
15 Li 0.000 0.000 0.000  0.00
16 Li 0.750 0.500 0.500  0.00

=====

No. 3
The following is a DFT calculation (GGA-PBE) of a geometry-optimized RbLi7Si2O8 structure.

Output
**Energy relative to the elements, uncorrected**: -2323 meV/atom
**Total magnetic moment**: 0.00 μB per atom

Unit cell a=8.539 b=8.539 c=7.853 alpha=89.43 beta=89.43 gamma=44.25
Atoms (fractional coordinates):
1 Li 0.357 0.357 0.866
2 Li 0.933 0.933 0.289
3 Li 0.500 0.500 0.000
4 Li 0.676 0.186 0.633
5 Li 0.186 0.676 0.633
6 Li 0.073 0.558 0.132
7 Li 0.558 0.073 0.132
8 Li 0.927 0.442 0.868
9 Li 0.324 0.814 0.367
10 Li 0.643 0.643 0.134
11 Li 0.814 0.324 0.367
12 Li 0.442 0.927 0.868
13 Li 0.000 0.000 0.000
14 Li 0.067 0.067 0.711
15 O 0.979 0.413 0.194
16 O 0.383 0.815 0.606
17 O 0.815 0.383 0.606
18 O 0.185 0.617 0.394
19 O 0.053 0.053 0.236
20 O 0.587 0.021 0.806
21 O 0.872 0.872 0.068
22 O 0.468 0.468 0.749
23 O 0.532 0.532 0.251
24 O 0.616 0.616 0.897
25 O 0.617 0.185 0.394
26 O 0.128 0.128 0.932
27 O 0.021 0.587 0.806
28 O 0.413 0.979 0.194
29 O 0.947 0.947 0.764
30 O 0.384 0.384 0.103
31 Si 0.853 0.853 0.861
32 Si 0.571 0.571 0.706
33 Si 0.147 0.147 0.139
34 Si 0.429 0.429 0.294
35 Rb 0.755 0.755 0.470
36 Rb 0.245 0.245 0.530

=====

No. 4
The following is a DFT calculation (GGA-PBE) of a geometry-optimized RbLiSm2O4 structure.

Output
**Energy relative to the elements, uncorrected**: -2733 meV/atom
**Total magnetic moment**: 0.00 μB per atom

Unit cell a=3.580 b=6.282 c=11.916 alpha=90.00 beta=90.00 gamma=106.55
Atoms (fractional coordinates):
1 O 0.750 0.501 0.899
2 O 0.000 0.000 0.500
3 O 0.250 0.499 0.101
4 O 0.750 0.501 0.601
5 O 0.398 0.796 0.750
6 O 0.000 0.000 0.000
7 O 0.602 0.204 0.250
8 O 0.250 0.499 0.399
9 Sm 0.634 0.268 0.442
10 Sm 0.366 0.732 0.942
11 Sm 0.634 0.268 0.058
12 Sm 0.366 0.732 0.558
13 Li 0.819 0.639 0.750
14 Li 0.181 0.361 0.250
15 Rb 0.901 0.802 0.250
16 Rb 0.099 0.198 0.750

=====

Number 1: DFT total energy -5.789 eV per atom, density of states at the Fermi level 0.618 states/eV per atom. Number 2: DFT total energy -5.601 eV per atom, density of states at the Fermi level 0.712 states/eV per atom. Number 3: DFT total energy -5.927 eV per atom, density of states at the Fermi level 0.000 states/eV per atom. Number 4: DFT total energy -6.753 eV per atom, density of states at the Fermi level 0.000 states/eV per atom.